No. 1
## LiCeCl6 (PBE)

Data for an optimized crystal structure of LiCeCl6.

The structure in POSCAR format:
```
LiCeCl6
1.0
6.563 0.000 0.000
-3.282 5.684 0.000
0.000 0.000 6.106
Li Ce Cl
1 1 6
Direct
0.000 0.000 0.000
0.667 0.333 0.500
0.331 0.017 0.753
0.331 0.314 0.247
0.686 0.017 0.247
0.686 0.669 0.753
0.983 0.314 0.753
0.983 0.669 0.247
```

The energy above the most stable polymorph in this dataset is 0.8 kJ per mole of atoms. As for the total energy: -0.285 Ry per atom. The raw formation energy is -1.50 eV per atom. For the calculated density, the calculation gives 2.623 g cm⁻³. The density of states at the Fermi level is 1.484 states/eV per atom.

=====

No. 2
## FeCuRh (PBE)

Data for an optimized crystal structure of FeCuRh.

The structure in POSCAR format:
```
FeCuRh
1.0
3.497 0.000 0.000
0.000 3.826 0.000
-1.746 0.000 5.839
Fe Cu Rh
2 2 2
Direct
0.088 0.250 0.177
0.912 0.750 0.823
0.251 0.750 0.502
0.749 0.250 0.498
0.417 0.250 0.833
0.583 0.750 0.167
```

The energy above the most stable polymorph in this dataset is 4.8 kJ per mole of atoms. As for the total energy: -0.485 Ry per atom. For the calculated density, the calculation gives 9.449 g cm⁻³. The density of states at the Fermi level is 0.948 states/eV per atom.

=====

No. 3
## ScSiP2O (PBE)

Data for an optimized crystal structure of ScSiP2O.

The structure in POSCAR format:
```
ScSiP2O
1.0
5.094 0.000 0.000
0.000 5.094 0.000
0.000 0.000 3.832
Sc Si P O
1 1 2 1
Direct
0.000 0.000 0.000
0.500 0.500 0.500
0.000 0.500 0.000
0.500 0.000 0.000
0.000 0.000 0.500
```

The energy above the most stable polymorph in this dataset is 66.2 kJ per mole of atoms. As for the total energy: -0.405 Ry per atom. The raw formation energy is -0.01 eV per atom. For the calculated density, the calculation gives 2.522 g cm⁻³. The density of states at the Fermi level is 0.961 states/eV per atom.

=====

No. 4
## Dy2Ge3Ru (PBE)

Data for an optimized crystal structure of Dy2Ge3Ru.

The structure in POSCAR format:
```
Dy2Ge3Ru
1.0
5.178 -2.197 0.000
5.178 2.197 0.000
-4.570 0.000 5.308
Dy Ge Ru
2 3 1
Direct
0.000 0.000 0.000
0.108 0.108 0.599
0.373 0.373 0.187
0.433 0.433 0.652
0.735 0.735 0.406
0.733 0.733 0.037
```

As for the total energy: -0.443 Ry per atom. For the calculated density, the calculation gives 8.852 g cm⁻³. The density of states at the Fermi level is 0.556 states/eV per atom.

=====

No. 5
## PtCBr2N (PBE)

Data for an optimized crystal structure of PtCBr2N.

The structure in POSCAR format:
```
PtCBr2N
1.0
5.188 0.000 0.000
0.000 5.188 0.000
0.000 0.000 3.869
Pt C Br N
1 1 2 1
Direct
0.000 0.000 0.000
0.000 0.000 0.500
0.000 0.500 0.500
0.500 0.000 0.500
0.500 0.500 0.000
```

As for the total energy: -0.257 Ry per atom. The raw formation energy is 1.89 eV per atom. For the calculated density, the calculation gives 6.074 g cm⁻³. The density of states at the Fermi level is 0.901 states/eV per atom.

=====

No. 6
## Nd3Er2Zn3 (PBE)

Data for an optimized crystal structure of Nd3Er2Zn3.

The structure in POSCAR format:
```
Nd3Er2Zn3
1.0
-1.831 2.658 10.847
1.831 -2.658 10.847
1.831 2.658 -10.847
Nd Er Zn
3 2 3
Direct
0.000 0.000 0.000
0.380 0.880 0.500
0.620 0.120 0.500
0.230 0.230 0.000
0.770 0.770 0.000
0.120 0.620 0.500
0.500 0.500 0.000
0.880 0.380 0.500
```

As for the total energy: -0.267 Ry per atom. For the calculated density, the calculation gives 7.580 g cm⁻³. The density of states at the Fermi level is 1.201 states/eV per atom.